A relaxed structure of GeWN2, computed with PBE-GGA.

Cell: 2.9623 2.9623 19.6658 Å, 90.00 90.00 120.00°
Closest atoms and distances in Å follow each position.
Space group R-3m (No. 166, hexagonal axes)
Inequivalent atoms, fractional coordinates:
Ge  0.0000  0.0000  0.0000 x3  2 N 2.08
W  0.0000  0.0000  0.5000 x3  6 N 2.09
N  0.0000  0.0000  0.1057 x6  1 Ge 2.08, 3 W 2.09

## Properties
- raw total energy (eV per cell) = -102.69

A relaxed structure of YFeOs2, computed with PBE-GGA.

Cell: 2.8300 2.8300 27.8721 Å, 90.00 90.00 120.00°
Closest atoms and distances in Å follow each position.
Space group R-3m (No. 166, hexagonal axes)
Inequivalent atoms, fractional coordinates:
Y  0.0000  0.0000  0.0000 x3  6 Y 2.83, 6 Os 3.10
Fe  0.0000  0.0000  0.5000 x3  6 Os 2.59, 6 Fe 2.83
Os  0.0000  0.0000  0.2389 x6  3 Fe 2.59, 6 Os 2.83

## Properties
- DFT formation energy (eV per atom) = 0.521

A relaxed structure of Hg2C, computed with PBE-GGA.

Cell: 7.6126 3.8985 9.7583 Å, 90.00 98.85 90.00°
Closest atoms and distances in Å follow each position.
Space group C2/m (No. 12)
Inequivalent atoms, fractional coordinates:
Hg  0.0832  0.0000  0.1807 x4  2 C 2.26
Hg  0.1773  0.0000  0.6062 x4  6 Hg 3.09-3.21
C  0.0287  0.5000  0.0658 x4  1 C 1.29

## Properties
- DFT formation energy (eV per atom) = 0.756

A relaxed structure of NdSc2Tc, computed with PBE-GGA.

Cell: 3.3071 3.3071 8.6296 Å, 90.00 90.00 90.00°
Closest atoms and distances in Å follow each position.
Space group P4/mmm (No. 123)
Inequivalent atoms, fractional coordinates:
Nd  0.0000  0.0000  0.0000 x1  4 Nd 3.31, 8 Sc 3.64
Sc  0.5000  0.5000  0.3232 x2  4 Tc 2.79, 1 Sc 3.05
Tc  0.0000  0.0000  0.5000 x1  8 Sc 2.79

## Properties
- DFT formation energy (eV per atom) = -0.098

A relaxed structure of NaPmErAl, computed with PBE-GGA.

Cell: 7.5312 7.5312 7.5312 Å, 90.00 90.00 90.00°
Closest atoms and distances in Å follow each position.
Space group F-43m (No. 216)
Inequivalent atoms, fractional coordinates:
Na  0.0000  0.0000  0.0000 x4  4 Pm 3.26, 4 Er 3.26
Pm  0.2500  0.2500  0.2500 x4  4 Na 3.26, 4 Al 3.26
Er  0.2500  0.2500  0.7500 x4  4 Na 3.26, 4 Al 3.26
Al  0.0000  0.0000  0.5000 x4  4 Er 3.26, 4 Pm 3.26

## Properties
- DFT formation energy (eV per atom) = -0.038

A relaxed structure of SmGa2SiOs2, computed with PBE-GGA.

Cell: 4.4666 4.4666 5.6390 Å, 90.00 90.00 90.00°
Closest atoms and distances in Å follow each position.
Space group P4/mmm (No. 123)
Inequivalent atoms, fractional coordinates:
Sm  0.0000  0.0000  0.0000 x1  2 Si 2.82
Ga  0.5000  0.5000  0.2271 x2  1 Ga 2.56, 4 Os 2.71
Si  0.0000  0.0000  0.5000 x1  4 Os 2.23
Os  0.0000  0.5000  0.5000 x2  2 Si 2.23

## Properties
- raw total energy (eV per cell) = -39.50